Here is an optimized crystal structure of K3Ce2MgS6 from Alexandria via LeMat-Bulk. Energies are from PBE-GGA.

It has space group C2/m (No. 12), with a = 7.0747 Å, b = 12.2539 Å, c = 7.7047 Å, α = 90.00°, β = 107.81° and γ = 90.00°. Symmetry generates all atoms from K at (0.0000, 0.0000, 0.0000), K at (0.0000, 0.3342, 0.0000), Ce at (0.0000, 0.1667, 0.5000), Mg at (0.0000, 0.5000, 0.5000), S at (0.2302, 0.3366, 0.7003) and S at (0.2398, 0.0000, 0.6998).

The calculation puts the spin magnetization at 2.05 Bohr magnetons per cell. The calculation puts the density of states at the Fermi level at 0.517 states/eV per atom. For the raw formation energy, the calculation gives -37.81 kcal/mol of atoms. As for the volume: 26.498 A^3/atom.